KRbRh2 | the Alexandria database | GGA-PBE | relaxed; DFT total energy = -2.9431 eV per atom; space-group type = Fm-3m (225)
1.0
0.0000 3.7147 3.7147
3.7147 0.0000 3.7147
3.7147 3.7147 0.0000
K Rb Rh
1 1 2
direct
0.0000 0.0000 0.0000 K
0.5000 0.5000 0.5000 Rb
0.2500 0.2500 0.2500 Rh
0.7500 0.7500 0.7500 Rh

KRbRh3 | the Alexandria database | GGA-PBE | relaxed; DFT total energy = -2.8978 eV per atom; space-group type = Pm-3m (221)
1.0
5.1636 0.0000 0.0000
0.0000 5.1636 0.0000
0.0000 0.0000 5.1636
K Rb Rh
1 1 3
direct
0.0000 0.0000 0.0000 K
0.5000 0.5000 0.5000 Rb
0.0000 0.0000 0.5000 Rh
0.0000 0.5000 0.0000 Rh
0.5000 0.0000 0.0000 Rh

KRbRhS2 | the Alexandria database | GGA-PBE | relaxed; formation energy without anion corrections = 864 meV per atom; DFT total energy = -2.6703 eV per atom; space-group type = P4/mmm (123)
1.0
5.9726 0.0000 0.0000
0.0000 5.9726 0.0000
0.0000 0.0000 5.1570
K Rb Rh S
1 1 1 2
direct
0.0000 0.0000 0.0000 K
0.5000 0.5000 0.5000 Rb
0.5000 0.5000 0.0000 Rh
0.0000 0.5000 0.5000 S
0.5000 0.0000 0.5000 S

K2RbSiRh | the Alexandria database | GGA-PBE | relaxed; formation energy without anion corrections = 925 meV per atom; DFT total energy = -2.2623 eV per atom; space-group type = P4/mmm (123)
1.0
5.9686 0.0000 0.0000
0.0000 5.9686 0.0000
0.0000 0.0000 5.7389
K Rb Si Rh
2 1 1 1
direct
0.0000 0.5000 0.0000 K
0.5000 0.0000 0.0000 K
0.0000 0.0000 0.5000 Rb
0.5000 0.5000 0.5000 Si
0.0000 0.0000 0.0000 Rh